1.
# Tl2PbF6, relaxed, DFT PBE
# M_tot ... 0.000 μB per cell
# Crystal system ... monoclinic
# Theoretical density ... 6.20 g/cm3
# Total energy ... -37.34 eV/f.u.
# N(E_F) ... 0.0 states/eV/f.u.
data_Tl2PbF6
_chemical_formula_sum 'Tl4 Pb2 F12'
_symmetry_space_group_name_H-M 'P 1'
_symmetry_Int_Tables_number 1
_cell_length_a 7.007
_cell_length_b 7.660
_cell_length_c 8.190
_cell_angle_alpha 90.00
_cell_angle_beta 90.00
_cell_angle_gamma 117.11
loop_
_symmetry_equiv_pos_as_xyz
'x,y,z'
loop_
_atom_site_label
_atom_site_type_symbol
_atom_site_fract_x
_atom_site_fract_y
_atom_site_fract_z
Tl1 Tl 0.155 0.323 0.502
Tl2 Tl 0.345 0.177 0.002
Tl3 Tl 0.655 0.823 0.998
Tl4 Tl 0.845 0.677 0.498
Pb1 Pb 0.500 0.000 0.500
Pb2 Pb 0.000 0.500 0.000
F1 F 0.256 0.791 0.002
F2 F 0.164 0.418 0.177
F3 F 0.329 0.079 0.327
F4 F 0.171 0.421 0.827
F5 F 0.336 0.082 0.677
F6 F 0.244 0.709 0.502
F7 F 0.744 0.209 0.998
F8 F 0.836 0.582 0.823
F9 F 0.671 0.921 0.673
F10 F 0.829 0.579 0.173
F11 F 0.664 0.918 0.323
F12 F 0.756 0.291 0.498

2.
# TlPb2F8, relaxed, DFT PBE
# M_tot ... 0.000 μB per cell
# Crystal system ... monoclinic
# Theoretical density ... 6.70 g/cm3
# Total energy ... -46.84 eV/f.u.
# N(E_F) ... 6.9 states/eV/f.u.
data_TlPb2F8
_chemical_formula_sum 'Tl1 Pb2 F8'
_symmetry_space_group_name_H-M 'P 1'
_symmetry_Int_Tables_number 1
_cell_length_a 4.068
_cell_length_b 6.838
_cell_length_c 7.345
_cell_angle_alpha 101.11
_cell_angle_beta 90.00
_cell_angle_gamma 107.30
loop_
_symmetry_equiv_pos_as_xyz
'x,y,z'
loop_
_atom_site_label
_atom_site_type_symbol
_atom_site_fract_x
_atom_site_fract_y
_atom_site_fract_z
Pb1 Pb 0.738 0.477 0.736
Pb2 Pb 0.262 0.523 0.264
Tl1 Tl 0.500 0.000 0.000
F1 F 0.444 0.889 0.251
F2 F 0.700 0.401 0.080
F3 F 0.807 0.613 0.446
F4 F 0.923 0.845 0.863
F5 F 0.193 0.387 0.554
F6 F 0.300 0.599 0.920
F7 F 0.556 0.111 0.749
F8 F 0.077 0.155 0.137

3.
# TlPbF3, relaxed, DFT PBE
# M_tot ... 0.000 μB per cell
# Crystal system ... cubic
# Theoretical density ... 6.84 g/cm3
# Total energy ... -22.02 eV/f.u.
# N(E_F) ... 0.0 states/eV/f.u.
data_TlPbF3
_chemical_formula_sum 'Tl1 Pb1 F3'
_symmetry_space_group_name_H-M 'P 1'
_symmetry_Int_Tables_number 1
_cell_length_a 4.845
_cell_length_b 4.845
_cell_length_c 4.845
_cell_angle_alpha 90.00
_cell_angle_beta 90.00
_cell_angle_gamma 90.00
loop_
_symmetry_equiv_pos_as_xyz
'x,y,z'
loop_
_atom_site_label
_atom_site_type_symbol
_atom_site_fract_x
_atom_site_fract_y
_atom_site_fract_z
Pb1 Pb 0.000 0.000 0.000
Tl1 Tl 0.500 0.500 0.500
F1 F 0.000 0.500 0.000
F2 F 0.000 0.000 0.500
F3 F 0.500 0.000 0.000

4.
# Tl4PbF5, relaxed, DFT PBE
# M_tot ... 0.000 μB per cell
# Crystal system ... tetragonal
# Theoretical density ... 8.20 g/cm3
# Total energy ... -39.18 eV/f.u.
# N(E_F) ... 1.9 states/eV/f.u.
data_Tl4PbF5
_chemical_formula_sum 'Tl4 Pb1 F5'
_symmetry_space_group_name_H-M 'P 1'
_symmetry_Int_Tables_number 1
_cell_length_a 5.628
_cell_length_b 6.944
_cell_length_c 6.944
_cell_angle_alpha 80.55
_cell_angle_beta 66.09
_cell_angle_gamma 66.09
loop_
_symmetry_equiv_pos_as_xyz
'x,y,z'
loop_
_atom_site_label
_atom_site_type_symbol
_atom_site_fract_x
_atom_site_fract_y
_atom_site_fract_z
Tl1 Tl 0.416 0.390 0.784
Tl2 Tl 0.806 0.784 0.610
Tl3 Tl 0.199 0.216 0.390
Tl4 Tl 0.589 0.610 0.216
Pb1 Pb 0.987 0.000 0.000
F1 F 0.905 0.369 0.875
F2 F 0.274 0.875 0.631
F3 F 0.780 0.125 0.369
F4 F 0.149 0.631 0.125
F5 F 0.405 0.000 0.000

5.
# TlPb4F8, relaxed, DFT PBE
# M_tot ... 0.000 μB per cell
# Crystal system ... cubic
# Relative energy among the computed polymorphs ... 0.000 eV/atom
# Theoretical density ... 5.73 g/cm3
# Total energy ... -58.36 eV/f.u.
# N(E_F) ... 6.7 states/eV/f.u.
data_TlPb4F8
_chemical_formula_sum 'Tl1 Pb4 F8'
_symmetry_space_group_name_H-M 'P 1'
_symmetry_Int_Tables_number 1
_cell_length_a 7.862
_cell_length_b 7.862
_cell_length_c 7.862
_cell_angle_alpha 60.00
_cell_angle_beta 60.00
_cell_angle_gamma 60.00
loop_
_symmetry_equiv_pos_as_xyz
'x,y,z'
loop_
_atom_site_label
_atom_site_type_symbol
_atom_site_fract_x
_atom_site_fract_y
_atom_site_fract_z
Tl1 Tl 0.750 0.750 0.750
Pb1 Pb 0.878 0.374 0.374
Pb2 Pb 0.374 0.878 0.374
Pb3 Pb 0.374 0.374 0.878
Pb4 Pb 0.374 0.374 0.374
F1 F 0.541 0.153 0.153
F2 F 0.153 0.541 0.153
F3 F 0.153 0.153 0.541
F4 F 0.153 0.153 0.153
F5 F 0.183 0.606 0.606
F6 F 0.606 0.183 0.606
F7 F 0.606 0.606 0.183
F8 F 0.606 0.606 0.606

6.
# TlPbF3, relaxed, DFT PBE
# M_tot ... 0.000 μB per cell
# Crystal system ... cubic
# Theoretical density ... 7.41 g/cm3
# Total energy ... -19.14 eV/f.u.
# N(E_F) ... 1.5 states/eV/f.u.
data_TlPbF3
_chemical_formula_sum 'Tl1 Pb1 F3'
_symmetry_space_group_name_H-M 'P 1'
_symmetry_Int_Tables_number 1
_cell_length_a 4.719
_cell_length_b 4.719
_cell_length_c 4.719
_cell_angle_alpha 90.00
_cell_angle_beta 90.00
_cell_angle_gamma 90.00
loop_
_symmetry_equiv_pos_as_xyz
'x,y,z'
loop_
_atom_site_label
_atom_site_type_symbol
_atom_site_fract_x
_atom_site_fract_y
_atom_site_fract_z
Pb1 Pb 0.500 0.500 0.500
Tl1 Tl 0.000 0.000 0.000
F1 F 0.000 0.500 0.000
F2 F 0.500 0.000 0.000
F3 F 0.000 0.000 0.500

7.
# Tl3Pb5F12, relaxed, DFT PBE
# M_tot ... 0.000 μB per cell
# Crystal system ... cubic
# Theoretical density ... 6.70 g/cm3
# Total energy ... -88.03 eV/f.u.
# N(E_F) ... 4.7 states/eV/f.u.
data_Tl3Pb5F12
_chemical_formula_sum 'Tl12 Pb20 F48'
_symmetry_space_group_name_H-M 'P 1'
_symmetry_Int_Tables_number 1
_cell_length_a 13.419
_cell_length_b 13.419
_cell_length_c 13.419
_cell_angle_alpha 109.47
_cell_angle_beta 109.47
_cell_angle_gamma 109.47
loop_
_symmetry_equiv_pos_as_xyz
'x,y,z'
loop_
_atom_site_label
_atom_site_type_symbol
_atom_site_fract_x
_atom_site_fract_y
_atom_site_fract_z
Tl1 Tl 0.750 0.375 0.125
Tl2 Tl 0.875 0.750 0.125
Tl3 Tl 0.375 0.750 0.625
Tl4 Tl 0.250 0.125 0.375
Tl5 Tl 0.875 0.125 0.250
Tl6 Tl 0.375 0.625 0.250
Tl7 Tl 0.625 0.375 0.750
Tl8 Tl 0.125 0.875 0.750
Tl9 Tl 0.750 0.875 0.625
Tl10 Tl 0.625 0.250 0.375
Tl11 Tl 0.125 0.250 0.875
Tl12 Tl 0.250 0.625 0.875
Pb1 Pb 0.125 0.375 0.250
Pb2 Pb 0.000 0.500 0.000
Pb3 Pb 0.000 0.000 0.000
Pb4 Pb 0.375 0.250 0.125
Pb5 Pb 0.500 0.000 0.500
Pb6 Pb 0.500 0.500 0.000
Pb7 Pb 0.125 0.750 0.375
Pb8 Pb 0.750 0.125 0.875
Pb9 Pb 0.750 0.625 0.375
Pb10 Pb 0.375 0.125 0.750
Pb11 Pb 0.625 0.875 0.250
Pb12 Pb 0.500 0.500 0.500
Pb13 Pb 0.500 0.000 0.000
Pb14 Pb 0.000 0.000 0.500
Pb15 Pb 0.250 0.375 0.625
Pb16 Pb 0.250 0.875 0.125
Pb17 Pb 0.000 0.500 0.500
Pb18 Pb 0.875 0.250 0.625
Pb19 Pb 0.625 0.750 0.875
Pb20 Pb 0.875 0.625 0.750
F1 F 0.706 0.100 0.025
F2 F 0.320 0.525 0.425
F3 F 0.975 0.400 0.294
F4 F 0.525 0.206 0.100
F5 F 0.605 0.706 0.680
F6 F 0.975 0.575 0.180
F7 F 0.320 0.794 0.395
F8 F 0.075 0.895 0.100
F9 F 0.575 0.975 0.680
F10 F 0.706 0.605 0.180
F11 F 0.794 0.475 0.400
F12 F 0.820 0.925 0.025
F13 F 0.100 0.706 0.525
F14 F 0.400 0.425 0.105
F15 F 0.105 0.925 0.400
F16 F 0.395 0.100 0.575
F17 F 0.105 0.180 0.206
F18 F 0.475 0.680 0.075
F19 F 0.820 0.895 0.294
F20 F 0.100 0.395 0.075
F21 F 0.400 0.975 0.794
F22 F 0.575 0.600 0.395
F23 F 0.925 0.820 0.525
F24 F 0.794 0.320 0.895
F25 F 0.425 0.400 0.605
F26 F 0.075 0.180 0.475
F27 F 0.206 0.680 0.105
F28 F 0.180 0.105 0.706
F29 F 0.600 0.025 0.206
F30 F 0.900 0.605 0.925
F31 F 0.525 0.320 0.925
F32 F 0.605 0.900 0.425
F33 F 0.895 0.820 0.794
F34 F 0.895 0.075 0.600
F35 F 0.900 0.294 0.475
F36 F 0.180 0.075 0.975
F37 F 0.600 0.575 0.895
F38 F 0.425 0.025 0.320
F39 F 0.294 0.395 0.820
F40 F 0.206 0.525 0.600
F41 F 0.925 0.105 0.900
F42 F 0.680 0.206 0.605
F43 F 0.475 0.794 0.900
F44 F 0.025 0.425 0.820
F45 F 0.395 0.294 0.320
F46 F 0.025 0.600 0.706
F47 F 0.680 0.475 0.575
F48 F 0.294 0.900 0.975

8.
# Tl2Pb2F, relaxed, DFT PBE
# M_tot ... 0.000 μB per cell
# Crystal system ... tetragonal
# Theoretical density ... 9.88 g/cm3
# Total energy ... -16.52 eV/f.u.
# N(E_F) ... 2.0 states/eV/f.u.
data_Tl2Pb2F
_chemical_formula_sum 'Tl4 Pb4 F2'
_symmetry_space_group_name_H-M 'P 1'
_symmetry_Int_Tables_number 1
_cell_length_a 6.946
_cell_length_b 6.946
_cell_length_c 5.870
_cell_angle_alpha 90.00
_cell_angle_beta 90.00
_cell_angle_gamma 90.00
loop_
_symmetry_equiv_pos_as_xyz
'x,y,z'
loop_
_atom_site_label
_atom_site_type_symbol
_atom_site_fract_x
_atom_site_fract_y
_atom_site_fract_z
Pb1 Pb 0.181 0.681 0.500
Pb2 Pb 0.681 0.819 0.500
Pb3 Pb 0.819 0.319 0.500
Pb4 Pb 0.319 0.181 0.500
Tl1 Tl 0.332 0.832 0.000
Tl2 Tl 0.832 0.668 0.000
Tl3 Tl 0.668 0.168 0.000
Tl4 Tl 0.168 0.332 0.000
F1 F 0.000 0.000 0.000
F2 F 0.500 0.500 0.000

9.
# TlPbF, relaxed, DFT PBE
# M_tot ... 0.000 μB per cell
# Crystal system ... hexagonal
# Relative energy among the computed polymorphs ... 0.139 eV/atom
# Theoretical density ... 9.07 g/cm3
# Total energy ... -10.58 eV/f.u.
# N(E_F) ... 1.6 states/eV/f.u.
data_TlPbF
_chemical_formula_sum 'Tl1 Pb1 F1'
_symmetry_space_group_name_H-M 'P 1'
_symmetry_Int_Tables_number 1
_cell_length_a 4.733
_cell_length_b 4.386
_cell_length_c 4.386
_cell_angle_alpha 120.00
_cell_angle_beta 90.00
_cell_angle_gamma 90.00
loop_
_symmetry_equiv_pos_as_xyz
'x,y,z'
loop_
_atom_site_label
_atom_site_type_symbol
_atom_site_fract_x
_atom_site_fract_y
_atom_site_fract_z
Pb1 Pb 0.167 0.333 0.667
Tl1 Tl 0.667 0.667 0.333
F1 F 0.166 0.000 0.000

10.
# TmTl2PbF6, relaxed, DFT PBE
# M_tot ... 0.000 μB per cell
# Crystal system ... orthorhombic
# Theoretical density ... 7.25 g/cm3
# Total energy ... -50.16 eV/f.u.
# N(E_F) ... 2.8 states/eV/f.u.
data_TmTl2PbF6
_chemical_formula_sum 'Tm2 Tl4 Pb2 F12'
_symmetry_space_group_name_H-M 'P 1'
_symmetry_Int_Tables_number 1
_cell_length_a 6.170
_cell_length_b 7.230
_cell_length_c 9.228
_cell_angle_alpha 90.00
_cell_angle_beta 90.00
_cell_angle_gamma 90.00
loop_
_symmetry_equiv_pos_as_xyz
'x,y,z'
loop_
_atom_site_label
_atom_site_type_symbol
_atom_site_fract_x
_atom_site_fract_y
_atom_site_fract_z
Tm1 Tm 0.500 0.226 0.500
Tm2 Tm 0.000 0.774 0.000
Tl1 Tl 0.500 0.779 0.249
Tl2 Tl 0.000 0.221 0.749
Tl3 Tl 0.500 0.779 0.751
Tl4 Tl 0.000 0.221 0.251
Pb1 Pb 0.000 0.720 0.500
Pb2 Pb 0.500 0.280 0.000
F1 F 0.500 0.214 0.266
F2 F 0.500 0.214 0.734
F3 F 0.000 0.786 0.234
F4 F 0.000 0.786 0.766
F5 F 0.258 0.009 0.500
F6 F 0.742 0.009 0.500
F7 F 0.241 0.423 0.500
F8 F 0.759 0.423 0.500
F9 F 0.741 0.577 0.000
F10 F 0.259 0.577 0.000
F11 F 0.242 0.991 0.000
F12 F 0.758 0.991 0.000

Short version: E_form (uncorrected) = -1963.3; -2008.3; -2066.0; -1665.0; -2014.8; -1489.9; -1996.8; -500.2; -878.0; -2601.8 meV/atom, in the order given.